Compound: Nd15Ho2Mg2
Source: Alexandria
Functional: PBE-GGA
Structure: relaxed

```
data_Nd15Ho2Mg2
_space_group_name_H-M_alt 'R -3 m'
_space_group_IT_number 166
_space_group_name_Hall '-R 3 2"'
_cell_length_a 11.3190
_cell_length_b 11.3190
_cell_length_c 17.7868
_cell_angle_alpha 90.00
_cell_angle_beta 90.00
_cell_angle_gamma 120.00
loop_
_atom_site_label
_atom_site_type_symbol
_atom_site_fract_x
_atom_site_fract_y
_atom_site_fract_z
Nd1 Nd 0.0000 0.2963 0.0000
Nd2 Nd 0.0000 0.5000 0.5000
Nd3 Nd 0.0195 0.5098 0.1385
Ho1 Ho 0.0000 0.0000 0.3137
Mg1 Mg 0.0000 0.0000 0.0926
```

- density (g cm⁻³) = 6.42
- DOS at the Fermi energy (states/eV per atom) = 1.4193
- ΔE_f (eV per atom) = 0.23